[1]
Computed, not measured: a relaxed structure of Mg4Pb3 at the PBE level of DFT.

DFT formation energy, eV per atom: -0.039
Electronic total energy, eV per cell: -35.6

Lattice parameters (Å, degrees): 8.3231 8.3231 8.3231 113.66 113.66 113.66
Closest atoms and distances in Å follow each position.
Fractional coordinates of all 14 atoms:
Mg: 0.0000 0.0000 0.0000  8 Mg 3.20-3.40, 6 Pb 3.51
Mg: 0.0606 0.7589 0.6128  7 Pb 3.12-3.28, 2 Mg 3.40-3.41
Mg: 0.2411 0.3872 0.9394  7 Pb 3.12-3.28, 2 Mg 3.40-3.41
Mg: 0.3872 0.9394 0.2411  7 Pb 3.12-3.28, 2 Mg 3.40-3.41
Mg: 0.5000 0.5000 0.5000  6 Pb 3.18, 2 Mg 3.20
Mg: 0.6128 0.0606 0.7589  7 Pb 3.12-3.28, 2 Mg 3.40-3.41
Mg: 0.7589 0.6128 0.0606  7 Pb 3.12-3.28, 2 Mg 3.40-3.41
Mg: 0.9394 0.2411 0.3872  7 Pb 3.12-3.28, 2 Mg 3.40-3.41
Pb: 0.1231 0.5337 0.2538  8 Mg 3.12-3.28
Pb: 0.2538 0.1231 0.5337  8 Mg 3.12-3.28
Pb: 0.4663 0.7462 0.8769  8 Mg 3.12-3.28
Pb: 0.5337 0.2538 0.1231  8 Mg 3.12-3.28
Pb: 0.7462 0.8769 0.4663  8 Mg 3.12-3.28
Pb: 0.8769 0.4663 0.7462  8 Mg 3.12-3.28


[2]
Computed, not measured: a relaxed structure of MgPb at the PBE level of DFT.

DFT formation energy, eV per atom: 0.219
Electronic total energy, eV per cell: -9.7

Lattice parameters (Å, degrees): 5.1525 5.1525 5.9618 90.00 90.00 120.00
Closest atoms and distances in Å follow each position.
Fractional coordinates of all 4 atoms:
Mg: 0.3333 0.6667 0.2500  5 Pb 2.97-2.98
Mg: 0.6667 0.3333 0.7500  5 Pb 2.97-2.98
Pb: 0.3333 0.6667 0.7500  5 Mg 2.97-2.98
Pb: 0.6667 0.3333 0.2500  5 Mg 2.97-2.98


[3]
Computed, not measured: a relaxed structure of MgPb2 at the PBE level of DFT.

DFT formation energy, eV per atom: -0.012
Electronic total energy, eV per cell: -36.2

Lattice parameters (Å, degrees): 7.3858 7.3858 6.2261 90.00 90.00 90.00
Closest atoms and distances in Å follow each position.
Fractional coordinates of all 12 atoms:
Mg: 0.0000 0.0000 0.2500  2 Mg 3.11, 8 Pb 3.18
Mg: 0.0000 0.0000 0.7500  2 Mg 3.11, 8 Pb 3.18
Mg: 0.5000 0.5000 0.2500  2 Mg 3.11, 8 Pb 3.18
Mg: 0.5000 0.5000 0.7500  2 Mg 3.11, 8 Pb 3.18
Pb: 0.1615 0.3385 0.0000  4 Mg 3.18, 1 Pb 3.37
Pb: 0.1615 0.6615 0.5000  4 Mg 3.18, 1 Pb 3.37
Pb: 0.3385 0.1615 0.5000  4 Mg 3.18, 1 Pb 3.37
Pb: 0.3385 0.8385 0.0000  4 Mg 3.18, 1 Pb 3.37
Pb: 0.6615 0.1615 0.0000  4 Mg 3.18, 1 Pb 3.37
Pb: 0.6615 0.8385 0.5000  4 Mg 3.18, 1 Pb 3.37
Pb: 0.8385 0.3385 0.5000  4 Mg 3.18, 1 Pb 3.37
Pb: 0.8385 0.6615 0.0000  4 Mg 3.18, 1 Pb 3.37


[4]
Computed, not measured: a relaxed structure of MgPb at the PBE level of DFT.

DFT formation energy, eV per atom: -0.015
Electronic total energy, eV per cell: -21.3

Lattice parameters (Å, degrees): 3.6257 5.2236 11.2492 90.00 90.00 90.00
Closest atoms and distances in Å follow each position.
Fractional coordinates of all 8 atoms:
Mg: 0.0000 0.2500 0.1300  6 Pb 3.18-3.34, 2 Mg 3.25
Mg: 0.0000 0.7500 0.8700  6 Pb 3.18-3.34, 2 Mg 3.25
Mg: 0.5000 0.2500 0.3700  6 Pb 3.18-3.34, 2 Mg 3.25
Mg: 0.5000 0.7500 0.6300  6 Pb 3.18-3.34, 2 Mg 3.25
Pb: 0.0000 0.2500 0.6190  6 Mg 3.18-3.34, 2 Pb 3.46
Pb: 0.0000 0.7500 0.3810  6 Mg 3.18-3.34, 2 Pb 3.46
Pb: 0.5000 0.2500 0.8810  6 Mg 3.18-3.34, 2 Pb 3.46
Pb: 0.5000 0.7500 0.1190  6 Mg 3.18-3.34, 2 Pb 3.46


[5]
Computed, not measured: a relaxed structure of Mg3Pb at the PBE level of DFT.

DFT formation energy, eV per atom: -0.004
Electronic total energy, eV per cell: -51.0

Lattice parameters (Å, degrees): 8.5009 8.5009 9.6997 90.00 90.00 120.00
Closest atoms and distances in Å follow each position.
Fractional coordinates of all 24 atoms:
Mg: 0.0000 0.0000 0.0698  3 Pb 3.04, 6 Mg 3.17
Mg: 0.0000 0.0000 0.5698  3 Pb 3.04, 6 Mg 3.17
Mg: 0.0000 0.2611 0.3368  3 Pb 3.13-3.23, 7 Mg 3.17-3.41
Mg: 0.0000 0.3644 0.0000  2 Pb 2.96-3.28, 5 Mg 3.17-3.26
Mg: 0.0000 0.6356 0.5000  2 Pb 2.96-3.28, 5 Mg 3.17-3.26
Mg: 0.0000 0.7389 0.8368  3 Pb 3.13-3.23, 7 Mg 3.17-3.41
Mg: 0.2611 0.0000 0.3368  3 Pb 3.13-3.23, 7 Mg 3.17-3.41
Mg: 0.2611 0.2611 0.8368  3 Pb 3.13-3.23, 7 Mg 3.17-3.41
Mg: 0.3333 0.6667 0.3135  3 Pb 3.16, 6 Mg 3.19-3.26
Mg: 0.3333 0.6667 0.8135  3 Pb 3.16, 6 Mg 3.19-3.26
Mg: 0.3644 0.0000 0.0000  2 Pb 2.96-3.28, 5 Mg 3.17-3.26
Mg: 0.3644 0.3644 0.5000  2 Pb 2.96-3.28, 5 Mg 3.17-3.26
Mg: 0.6356 0.0000 0.5000  2 Pb 2.96-3.28, 5 Mg 3.17-3.26
Mg: 0.6356 0.6356 0.0000  2 Pb 2.96-3.28, 5 Mg 3.17-3.26
Mg: 0.6667 0.3333 0.3135  3 Pb 3.16, 6 Mg 3.19-3.26
Mg: 0.6667 0.3333 0.8135  3 Pb 3.16, 6 Mg 3.19-3.26
Mg: 0.7389 0.0000 0.8368  3 Pb 3.13-3.23, 7 Mg 3.17-3.41
Mg: 0.7389 0.7389 0.3368  3 Pb 3.13-3.23, 7 Mg 3.17-3.41
Pb: 0.0000 0.3413 0.6622  8 Mg 2.96-3.28
Pb: 0.0000 0.6587 0.1622  8 Mg 2.96-3.28
Pb: 0.3413 0.0000 0.6622  8 Mg 2.96-3.28
Pb: 0.3413 0.3413 0.1622  8 Mg 2.96-3.28
Pb: 0.6587 0.0000 0.1622  8 Mg 2.96-3.28
Pb: 0.6587 0.6587 0.6622  8 Mg 2.96-3.28


[6]
Computed, not measured: a relaxed structure of Mg5Pb at the PBE level of DFT.

DFT formation energy, eV per atom: 0.044
Electronic total energy, eV per cell: -11.4

Lattice parameters (Å, degrees): 5.9434 5.9434 5.9434 60.00 60.00 60.00
Closest atoms and distances in Å follow each position.
Fractional coordinates of all 6 atoms:
Mg: 0.0000 0.0000 0.0000  12 Mg 3.48, 4 Pb 3.64
Mg: 0.1232 0.6256 0.6256  6 Mg 2.96-2.99
Mg: 0.6256 0.1232 0.6256  6 Mg 2.96-2.99
Mg: 0.6256 0.6256 0.1232  6 Mg 2.96-2.99
Mg: 0.6256 0.6256 0.6256  6 Mg 2.96-2.99
Pb: 0.2500 0.2500 0.2500  16 Mg 3.49-3.64


[7]
Computed, not measured: a relaxed structure of Mg2Pb at the PBE level of DFT.

DFT formation energy, eV per atom: -0.003
Electronic total energy, eV per cell: -13.8

Lattice parameters (Å, degrees): 8.2940 5.4602 3.5127 90.00 103.36 90.00
Closest atoms and distances in Å follow each position.
Fractional coordinates of all 6 atoms:
Mg: 0.1717 0.0000 0.2962  4 Mg 3.11-3.47, 4 Pb 3.13-3.23
Mg: 0.3283 0.5000 0.7038  4 Mg 3.11-3.47, 4 Pb 3.13-3.23
Mg: 0.6717 0.5000 0.2962  4 Mg 3.11-3.47, 4 Pb 3.13-3.23
Mg: 0.8283 0.0000 0.7038  4 Mg 3.11-3.47, 4 Pb 3.13-3.23
Pb: 0.0000 0.5000 0.0000  8 Mg 3.13-3.23
Pb: 0.5000 0.0000 0.0000  8 Mg 3.13-3.23


[8]
Computed, not measured: a relaxed structure of Mg2Pb at the PBE level of DFT.

DFT formation energy, eV per atom: -0.055
Electronic total energy, eV per cell: -28.2

Lattice parameters (Å, degrees): 6.9040 6.9040 6.9040 90.00 90.00 90.00
Closest atoms and distances in Å follow each position.
Fractional coordinates of all 12 atoms:
Mg: 0.2500 0.2500 0.2500  4 Pb 2.99
Mg: 0.2500 0.2500 0.7500  4 Pb 2.99
Mg: 0.2500 0.7500 0.2500  4 Pb 2.99
Mg: 0.2500 0.7500 0.7500  4 Pb 2.99
Mg: 0.7500 0.2500 0.2500  4 Pb 2.99
Mg: 0.7500 0.2500 0.7500  4 Pb 2.99
Mg: 0.7500 0.7500 0.2500  4 Pb 2.99
Mg: 0.7500 0.7500 0.7500  4 Pb 2.99
Pb: 0.0000 0.0000 0.0000  8 Mg 2.99
Pb: 0.0000 0.5000 0.5000  8 Mg 2.99
Pb: 0.5000 0.0000 0.5000  8 Mg 2.99
Pb: 0.5000 0.5000 0.0000  8 Mg 2.99